[1]
{
  "formula": "K5Na3Nb6W2O24",
  "functional": "meta-GGA SCAN",
  "state": "single point on PBEsol structure",
  "dos_at_fermi_per_ev_cell": 4.6,
  "formation_energy_uncorrected_ev_per_atom": -2.550,
  "vol_a3_per_cell": 504.4,
  "lattice_angstrom": [[7.9626, 0.0000, 0.0264], [0.0000, 7.9550, 0.0000], [-0.0249, 0.0000, 7.9626]],
  "species": ["O", "O", "O", "O", "O", "O", "O", "O", "O", "O", "O", "O", "O", "O", "O", "O", "O", "O", "O", "O", "O", "O", "O", "O", "Na", "Na", "Na", "Nb", "Nb", "Nb", "Nb", "Nb", "Nb", "K", "K", "K", "K", "K", "W", "W"],
  "fractional_positions": [[0.9994, 0.7467, 0.7573], [0.9994, 0.2533, 0.7573], [0.2492, 0.2533, 0.5022], [0.5019, 0.5000, 0.5019], [0.2427, 0.2525, 0.9987], [0.5007, 0.7455, 0.7511], [0.5022, 0.7467, 0.2492], [0.5022, 0.2533, 0.2492], [0.9995, 0.0000, 0.5005], [0.2492, 0.7467, 0.5022], [0.9986, 0.5000, 0.5019], [0.5007, 0.2545, 0.7511], [0.7511, 0.7455, 0.5007], [0.9991, 0.5000, 0.9991], [0.9997, 0.0000, 0.9997], [0.9987, 0.7475, 0.2427], [0.7573, 0.2533, 0.9994], [0.9987, 0.2525, 0.2427], [0.7511, 0.2545, 0.5007], [0.5019, 0.5000, 0.9986], [0.5007, 0.0000, 0.5007], [0.7573, 0.7467, 0.9994], [0.2427, 0.7475, 0.9987], [0.5005, 0.0000, 0.9995], [0.7444, 0.5000, 0.7444], [0.7445, 0.5000, 0.2556], [0.2556, 0.5000, 0.7445], [0.5002, 0.2512, 0.5002], [0.5009, 0.2514, 0.9994], [0.9994, 0.7486, 0.5009], [0.9994, 0.2514, 0.5009], [0.5009, 0.7486, 0.9994], [0.5002, 0.7488, 0.5002], [0.7501, 0.0000, 0.2502], [0.2502, 0.0000, 0.7501], [0.2501, 0.0000, 0.2501], [0.2504, 0.5000, 0.2504], [0.7498, 0.0000, 0.7498], [0.9997, 0.2521, 0.9997], [0.9997, 0.7479, 0.9997]]
}

[2]
{
  "formula": "K5Na3Nb4W4O24",
  "functional": "meta-GGA SCAN",
  "state": "single point on PBEsol structure",
  "dos_at_fermi_per_ev_cell": 9.8,
  "formation_energy_uncorrected_ev_per_atom": -2.456,
  "vol_a3_per_cell": 495.3,
  "lattice_angstrom": [[7.9110, 0.0064, 0.0064], [-0.0058, 7.9127, 0.0075], [-0.0058, -0.0071, 7.9127]],
  "species": ["O", "O", "O", "O", "O", "O", "O", "O", "O", "O", "O", "O", "O", "O", "O", "O", "O", "O", "O", "O", "O", "O", "O", "O", "Na", "Na", "Na", "K", "K", "K", "K", "K", "Nb", "Nb", "Nb", "Nb", "W", "W", "W", "W"],
  "fractional_positions": [[0.4973, 0.2439, 0.9984], [0.0032, 0.9995, 0.7511], [0.4950, 0.5008, 0.7514], [0.4950, 0.7514, 0.5008], [0.0032, 0.7511, 0.9995], [0.7563, 0.9994, 0.5005], [0.0024, 0.9986, 0.2490], [0.2488, 0.9988, 0.9988], [0.2484, 0.5020, 0.5020], [0.2442, 0.5016, 0.9987], [0.7563, 0.5005, 0.9994], [0.0037, 0.7559, 0.5005], [0.4966, 0.5023, 0.2487], [0.4973, 0.9984, 0.2439], [0.0024, 0.2490, 0.9986], [0.2442, 0.9987, 0.5016], [0.0027, 0.2439, 0.5019], [0.7511, 0.5006, 0.5006], [0.4960, 0.7559, 0.9993], [0.4966, 0.2487, 0.5023], [0.0037, 0.5005, 0.7559], [0.0027, 0.5019, 0.2439], [0.4960, 0.9993, 0.7559], [0.7509, 0.9995, 0.9995], [0.2524, 0.7473, 0.2529], [0.2524, 0.2529, 0.7473], [0.2527, 0.7470, 0.7470], [0.7501, 0.2497, 0.2497], [0.7501, 0.2498, 0.7504], [0.7500, 0.7503, 0.7503], [0.2496, 0.2499, 0.2499], [0.7501, 0.7504, 0.2498], [0.4982, 0.9995, 0.5006], [0.4982, 0.5006, 0.9995], [0.0014, 0.5006, 0.5006], [0.4989, 0.5003, 0.5003], [0.0013, 0.9996, 0.5007], [0.0017, 0.9994, 0.9994], [0.0013, 0.5007, 0.9996], [0.4979, 0.9996, 0.9996]]
}

[3]
{
  "formula": "KNa2NbSn",
  "functional": "meta-GGA SCAN",
  "state": "single point on PBEsol structure",
  "e_form_mev_per_atom": 435,
  "dos_at_fermi_per_ev_cell": 2.0,
  "vol_a3_per_cell": 187.8,
  "lattice_angstrom": [[-3.5301, 3.8753, 1.6642], [0.0045, -2.3022, 5.3705], [4.4807, 3.4484, 1.4745]],
  "species": ["K", "Na", "Na", "Nb", "Sn"],
  "fractional_positions": [[0.5000, 0.5000, 0.5000], [0.0000, 0.5000, 0.0000], [0.0000, 0.0000, 0.5000], [0.5000, 0.0000, 0.0000], [0.0000, 0.0000, 0.0000]]
}

[4]
{
  "formula": "KNaNdTaO5",
  "functional": "meta-GGA SCAN",
  "state": "single point on PBEsol structure",
  "dos_at_fermi_per_ev_cell": 0.0,
  "formation_energy_uncorrected_ev_per_atom": -2.982,
  "vol_a3_per_cell": 269.7,
  "lattice_angstrom": [[5.7162, 0.0000, 0.0000], [0.0000, 5.7162, 0.0000], [0.0000, 0.0000, 8.2531]],
  "species": ["O", "O", "O", "O", "O", "O", "O", "O", "O", "O", "K", "K", "Na", "Na", "Nd", "Nd", "Ta", "Ta"],
  "fractional_positions": [[0.2691, 0.7691, 0.3296], [0.2691, 0.2309, 0.3296], [0.0000, 0.5000, 0.9659], [0.2309, 0.2691, 0.6704], [0.7691, 0.7309, 0.6704], [0.7309, 0.2309, 0.3296], [0.7691, 0.2691, 0.6704], [0.7309, 0.7691, 0.3296], [0.2309, 0.7309, 0.6704], [0.5000, 0.0000, 0.0341], [0.5000, 0.5000, 0.0000], [0.0000, 0.0000, 0.0000], [0.5000, 0.0000, 0.7588], [0.0000, 0.5000, 0.2412], [0.5000, 0.5000, 0.5000], [0.0000, 0.0000, 0.5000], [0.0000, 0.5000, 0.7416], [0.5000, 0.0000, 0.2584]]
}

[5]
{
  "formula": "KNa3Ni",
  "functional": "meta-GGA SCAN",
  "state": "single point on PBEsol structure",
  "e_form_mev_per_atom": 428,
  "dos_at_fermi_per_ev_cell": 7.0,
  "vol_a3_per_cell": 166.3,
  "lattice_angstrom": [[-2.3854, -3.9224, 3.0266], [-2.3012, -2.0976, -4.5321], [4.3875, -3.2327, -0.7315]],
  "species": ["Na", "Na", "Na", "K", "Ni"],
  "fractional_positions": [[0.5000, 0.0000, 0.0000], [0.0000, 0.5000, 0.0000], [0.0000, 0.0000, 0.5000], [0.5000, 0.5000, 0.5000], [0.0000, 0.0000, 0.0000]]
}

[6]
{
  "formula": "KNa2Ni2O4",
  "functional": "meta-GGA SCAN",
  "state": "single point on PBEsol structure",
  "dos_at_fermi_per_ev_cell": 3.7,
  "formation_energy_uncorrected_ev_per_atom": -1.454,
  "vol_a3_per_cell": 496.0,
  "lattice_angstrom": [[5.6481, 0.1562, 0.0000], [-1.7972, 8.1855, 0.0000], [0.0000, 0.0000, 10.6642]],
  "species": ["Na", "Na", "Na", "Na", "Na", "Na", "Na", "Na", "Ni", "Ni", "Ni", "Ni", "Ni", "Ni", "Ni", "Ni", "O", "O", "O", "O", "O", "O", "O", "O", "O", "O", "O", "O", "O", "O", "O", "O", "K", "K", "K", "K"],
  "fractional_positions": [[0.2772, 0.4005, 0.9208], [0.7481, 0.6195, 0.7934], [0.7228, 0.5995, 0.0792], [0.7519, 0.8805, 0.2934], [0.2481, 0.1195, 0.7066], [0.7772, 0.9005, 0.5792], [0.2519, 0.3805, 0.2066], [0.2228, 0.0995, 0.4208], [0.7637, 0.3006, 0.9172], [0.2363, 0.6994, 0.0828], [0.7363, 0.1994, 0.4172], [0.7539, 0.2613, 0.6663], [0.2461, 0.7387, 0.3337], [0.2637, 0.8006, 0.5828], [0.2539, 0.7613, 0.8337], [0.7461, 0.2387, 0.1663], [0.4397, 0.6815, 0.9511], [0.4707, 0.7712, 0.7082], [0.9397, 0.1815, 0.5489], [0.0368, 0.7468, 0.9596], [0.4632, 0.7532, 0.4596], [0.0676, 0.8392, 0.7142], [0.9707, 0.2712, 0.7918], [0.5603, 0.3185, 0.0489], [0.5368, 0.2468, 0.5404], [0.5676, 0.3392, 0.7858], [0.9324, 0.1608, 0.2858], [0.5293, 0.2288, 0.2918], [0.9632, 0.2532, 0.0404], [0.4324, 0.6608, 0.2142], [0.0293, 0.7288, 0.2082], [0.0603, 0.8185, 0.4511], [0.7263, 0.5459, 0.3890], [0.2263, 0.0459, 0.1110], [0.7737, 0.9541, 0.8890], [0.2737, 0.4541, 0.6110]]
}

What did the fifth record say?
{
  "formula": "KNa3Ni",
  "functional": "meta-GGA SCAN",
  "state": "single point on PBEsol structure",
  "e_form_mev_per_atom": 428,
  "dos_at_fermi_per_ev_cell": 7.0,
  "vol_a3_per_cell": 166.3,
  "lattice_angstrom": [[-2.3854, -3.9224, 3.0266], [-2.3012, -2.0976, -4.5321], [4.3875, -3.2327, -0.7315]],
  "species": ["Na", "Na", "Na", "K", "Ni"],
  "fractional_positions": [[0.5000, 0.0000, 0.0000], [0.0000, 0.5000, 0.0000], [0.0000, 0.0000, 0.5000], [0.5000, 0.5000, 0.5000], [0.0000, 0.0000, 0.0000]]
}

> Which formula does entry 5 have?

KNa3Ni